The following is a DFT calculation (GGA+U) of a relaxed KMo2O6 crystal.

a b c (Å): 5.2875 5.2875 8.0163
angles (deg): 107.72 107.72 43.06
Fractional positions:
K1 0.0000 0.0000 0.0000
Mo1 0.1740 0.1740 0.6173
Mo2 0.8260 0.8260 0.3827
O1 0.0041 0.0041 0.6605
O2 0.3054 0.3054 0.8268
O3 0.3057 0.3057 0.4444
O4 0.6943 0.6943 0.5556
O5 0.6946 0.6946 0.1732
O6 0.9959 0.9959 0.3395

Summary:
**Symmetry**: C2/m, No. 12
**ρ**: 3.76 g cm⁻³
**Relative energy among the computed polymorphs**: 0 meV per atom
**Crystal system**: monoclinic